Entry 1:
VASP calculation (PBE) on a relaxed Zn2Sn2Ge crystal.

Summary:
M_tot   0.000 μB per atom
ΔE to the lowest computed polymorph   0.000 eV/atom
Formation energy from the elements   149 meV per atom
VASP energy   -2.885 eV/atom

a b c (Å): 7.0085 7.0085 4.4137
angles (deg): 90.00 90.00 90.00
Last column: nearest neighbours and their distance in Å.
Space group P4/mbm (No. 127)
One atom of each set of equivalent atoms:
1 Zn 0.1292 0.3708 0.0000 [4 per cell]  1 Zn 2.56, 2 Ge 2.75
2 Sn 0.1794 0.6794 0.5000 [4 per cell]  6 Zn 2.91-3.11
3 Ge 0.0000 0.0000 0.0000 [2 per cell]  4 Zn 2.75

---

Entry 2:
VASP calculation (PBE) on a relaxed Pr2Al crystal.

Summary:
M_tot   0.000 μB per atom
Formation energy from the elements   -235 meV per atom
VASP energy   -4.668 eV/atom

a b c (Å): 6.8021 5.3112 9.9422
angles (deg): 90.00 90.00 90.00
Last column: nearest neighbours and their distance in Å.
Space group Pnma (No. 62)
One atom of each set of equivalent atoms:
1 Pr 0.0218 0.2500 0.2018 [4 per cell]  3 Al 3.25-3.27, 5 Pr 3.52-3.59
2 Pr 0.1896 0.2500 0.5788 [4 per cell]  5 Al 3.19-3.54, 2 Pr 3.52
3 Al 0.2091 0.2500 0.8994 [4 per cell]  8 Pr 3.19-3.54

---

> What is the formula in the first record?

Zn2Sn2Ge

---

> formation energy from the elements of number 2 (Pr2Al)?

-235 meV per atom

---

> The lowest formation energy from the elements belongs to which entry?

Pr2Al

---

> The highest VASP energy belongs to which entry?

Zn2Sn2Ge